Pm2GaCuS5: optimized geometry, PBE.

Geometry as CIF:
```
data_Pm2GaCuS5
_cell_length_a 3.868
_cell_length_b 17.174
_cell_length_c 11.321
_cell_angle_alpha 90.00
_cell_angle_beta 90.00
_cell_angle_gamma 90.00
_symmetry_space_group_name_H-M 'C m c 21'
_symmetry_Int_Tables_number 36
loop_
_symmetry_equiv_pos_as_xyz
'x,y,z'
'-x,-y,z+1/2'
'-x,y,z'
'x,-y,z+1/2'
'x+1/2,y+1/2,z'
'-x+1/2,-y+1/2,z+1/2'
'-x+1/2,y+1/2,z'
'x+1/2,-y+1/2,z+1/2'
loop_
_atom_site_label
_atom_site_fract_x
_atom_site_fract_y
_atom_site_fract_z
Pm1 0.000 0.114 0.000
Pm2 0.000 0.131 0.618
Ga1 0.000 0.424 0.775
Cu1 0.000 0.247 0.402
S1 0.000 0.044 0.381
S2 0.000 0.294 0.978
S3 0.000 0.316 0.658
S4 0.000 0.362 0.312
S5 0.000 0.499 0.103
```

- calculated density (Mg/m³) = 5.2
- formation energy from raw total energies (eV/atom) = -1.3490

TaGe3Au: optimized geometry, PBE.

Geometry as CIF:
```
data_TaGe3Au
_cell_length_a 5.022
_cell_length_b 5.022
_cell_length_c 5.022
_cell_angle_alpha 90.00
_cell_angle_beta 90.00
_cell_angle_gamma 90.00
_symmetry_space_group_name_H-M 'P m -3 m'
_symmetry_Int_Tables_number 221
_symmetry_space_group_name_Hall '-P 4 2 3'
loop_
_atom_site_label
_atom_site_fract_x
_atom_site_fract_y
_atom_site_fract_z
Ta1 0.000 0.000 0.000
Ge1 0.000 0.000 0.500
Au1 0.500 0.500 0.500
```

- calculated density (Mg/m³) = 7.8
- ΔH_f (0 K) (eV per formula unit) = 3.12
- Fermi-level density of states (states/eV per cell) = 2.16
- energy above the lowest structure with this stoichiometry (meV/atom) = 0

La5Sm4In: optimized geometry, PBE.

Geometry as CIF:
```
data_La5Sm4In
_cell_length_a 18.774
_cell_length_b 3.668
_cell_length_c 11.147
_cell_angle_alpha 90.00
_cell_angle_beta 112.33
_cell_angle_gamma 90.00
_symmetry_space_group_name_H-M 'C 1 2/m 1'
_symmetry_Int_Tables_number 12
loop_
_symmetry_equiv_pos_as_xyz
'x,y,z'
'-x,-y,-z'
'-x,y,-z'
'x,-y,z'
'x+1/2,y+1/2,z'
'-x+1/2,-y+1/2,-z'
'-x+1/2,y+1/2,-z'
'x+1/2,-y+1/2,z'
loop_
_atom_site_label
_atom_site_fract_x
_atom_site_fract_y
_atom_site_fract_z
La1 0.000 0.000 0.000
La2 0.165 0.500 0.578
La3 0.174 0.500 0.180
Sm1 0.015 0.500 0.276
Sm2 0.160 0.000 0.881
In1 0.000 0.000 0.500
```

- calculated density (Mg/m³) = 6.6
- ΔH_f (0 K) (eV per formula unit) = 0.19
- Fermi-level density of states (states/eV per cell) = 29.69
- energy above the lowest structure with this stoichiometry (meV/atom) = 0

TiAsNO2: optimized geometry, PBE.

Geometry as CIF:
```
data_TiAsNO2
_cell_length_a 3.763
_cell_length_b 3.763
_cell_length_c 3.823
_cell_angle_alpha 90.00
_cell_angle_beta 90.00
_cell_angle_gamma 90.00
_symmetry_space_group_name_H-M 'P 4/m m m'
_symmetry_Int_Tables_number 123
_symmetry_space_group_name_Hall '-P 4 2'
loop_
_atom_site_label
_atom_site_fract_x
_atom_site_fract_y
_atom_site_fract_z
Ti1 0.000 0.000 0.000
As1 0.500 0.500 0.500
N1 0.500 0.500 0.000
O1 0.000 0.500 0.500
```

- calculated density (Mg/m³) = 5.2
- Fermi-level density of states (states/eV per cell) = 4.45
- formation energy from raw total energies (eV/atom) = -0.3668